# 1
Na3PtN, relaxed, DFT GGA-PBE; energy above the most stable polymorph in this dataset = 0.0 meV per atom; total moment = 2.00 μB/f.u.; energy relative to the elements, uncorrected = 529 meV/atom
1.0
4.6643 0.0000 0.0000
0.0000 4.6643 0.0000
0.0000 0.0000 4.6643
Na Pt N
3 1 1
Cartesian
0.0000 0.0000 2.3322
0.0000 2.3322 0.0000
2.3322 0.0000 0.0000
2.3322 2.3322 2.3322
0.0000 0.0000 0.0000

# 2
HfAsO3, relaxed, DFT GGA-PBE; total moment = 0.00 μB/f.u.; energy relative to the elements, uncorrected = -1753 meV/atom
1.0
4.0626 0.0000 0.0000
0.0000 4.0626 0.0000
0.0000 0.0000 4.0626
Hf As O
1 1 3
Cartesian
0.0000 0.0000 0.0000
2.0313 2.0313 2.0313
0.0000 0.0000 2.0313
0.0000 2.0313 0.0000
2.0313 0.0000 0.0000

What did we get for volume? Answer: 20.3, 13.4 Å³ per atom, in the order shown.
What did we get for D(E_F)? Answer: 2.31, 2.49 states/eV per cell, in the order shown.